(1)
Here is an optimized crystal structure of V2SiCl from the Alexandria database. Energies are from PBE.

The structure belongs to space group I-42d (No. 122); the cell edges are 5.0641, 5.0641 and 12.8146 Å and the angles 90.00°, 90.00° and 90.00°. The asymmetric unit holds V at (0.2453, 0.2500, 0.1250), Si at (0.0000, 0.0000, 0.5000) and Cl at (0.0000, 0.0000, 0.0000).

The calculation puts the total magnetic moment at 18.95 μB per cell. Its formation energy from raw total energies is 0.403 eV/atom. The energy above the lowest structure with this stoichiometry is 200 meV/atom.

(2)
Here is an optimized crystal structure of VSi2Cl from the Alexandria database. Energies are from PBE.

The structure belongs to space group Fm-3m (No. 225); the cell edges are 6.4175, 6.4175 and 6.4175 Å and the angles 90.00°, 90.00° and 90.00°. The asymmetric unit holds V at (0.0000, 0.0000, 0.0000), Si at (0.2500, 0.2500, 0.2500) and Cl at (0.0000, 0.0000, 0.5000).

The calculation puts the total magnetic moment at 8.63 μB per cell. Its formation energy from raw total energies is 0.829 eV/atom. The energy above the lowest structure with this stoichiometry is 26 meV/atom.

(3)
Here is an optimized crystal structure of SiWCl2 from the Alexandria database. Energies are from PBE.

The structure belongs to space group R-3m (No. 166, hexagonal axes); the cell edges are 3.0124, 3.0124 and 33.5153 Å and the angles 90.00°, 90.00° and 120.00°. The asymmetric unit holds Si at (0.0000, 0.0000, 0.0000), W at (0.0000, 0.0000, 0.5000) and Cl at (0.0000, 0.0000, 0.2200).

The calculation puts the total magnetic moment at 0.46 μB per cell. Its formation energy from raw total energies is 0.324 eV/atom. The energy above the lowest structure with this stoichiometry is 513 meV/atom.

(4)
Here is an optimized crystal structure of SiWCl2 from the Alexandria database. Energies are from PBE.

The structure belongs to space group Cmm2 (No. 35); the cell edges are 2.9268, 5.8563 and 9.5652 Å and the angles 90.00°, 90.00° and 90.00°. The asymmetric unit holds Si at (0.0000, 0.0000, 0.0000), W at (0.0000, 0.5000, 0.2125), Cl at (0.0000, 0.0000, 0.4136) and Cl at (0.0000, 0.5000, 0.8051).

The calculation puts the total magnetic moment at 0.00 μB per cell. Its formation energy from raw total energies is 0.177 eV/atom. The energy above the lowest structure with this stoichiometry is 366 meV/atom.

(5)
Here is an optimized crystal structure of SiWCl2 from the Alexandria database. Energies are from PBE.

The structure belongs to space group I-4m2 (No. 119); the cell edges are 4.2040, 4.2040 and 7.4697 Å and the angles 90.00°, 90.00° and 90.00°. The asymmetric unit holds Si at (0.0000, 0.0000, 0.0000), W at (0.0000, 0.5000, 0.7500), Cl at (0.0000, 0.0000, 0.5000) and Cl at (0.0000, 0.5000, 0.2500).

The calculation puts the total magnetic moment at 0.00 μB per cell. Its formation energy from raw total energies is 0.949 eV/atom. The energy above the lowest structure with this stoichiometry is 1138 meV/atom.

(6)
Here is an optimized crystal structure of SiWCl2 from the Alexandria database. Energies are from PBE.

The structure belongs to space group P4/mmm (No. 123); the cell edges are 2.9363, 2.9363 and 9.7318 Å and the angles 90.00°, 90.00° and 90.00°. The asymmetric unit holds Si at (0.0000, 0.0000, 0.0000), W at (0.0000, 0.0000, 0.5000) and Cl at (0.5000, 0.5000, 0.3430).

The calculation puts the total magnetic moment at 0.00 μB per cell. Its formation energy from raw total energies is 0.756 eV/atom. The energy above the lowest structure with this stoichiometry is 945 meV/atom.